(1)
# CaZn2Hg

An optimized crystal structure of CaZn2Hg (PBE-GGA, the Alexandria database).

Unit cell a=3.7032 b=3.7017 c=6.5091 alpha=90.00 beta=90.00 gamma=90.00
Element x y z (fractional)
1 Hg 0.5000 0.5000 0.7500
2 Zn 0.0000 0.0000 0.9642
3 Zn 0.0000 0.0000 0.5358
4 Ca 0.5000 0.5000 0.2500

Results
DFT formation energy ... -125 meV/atom

=====

(2)
# Nd3GdN

An optimized crystal structure of Nd3GdN (PBE-GGA, the Alexandria database).

Unit cell a=5.1483 b=5.1483 c=5.1483 alpha=90.00 beta=90.00 gamma=90.00
Each line ends with the local moment (μB).
Element x y z (fractional)
1 N 0.0000 0.0000 0.0000  0.03
2 Nd 0.0000 0.5000 0.0000  0.07
3 Nd 0.5000 0.0000 0.0000  0.07
4 Nd 0.0000 0.0000 0.5000  0.07
5 Gd 0.5000 0.5000 0.5000  7.32

Results
E_form (uncorrected) ... -0.444 eV per atom

=====

One value per record, in order, for energy: -1.338, -7.786 eV per atom.